BaFe4F12 | Alexandria | PBE with a Hubbard U | optimized geometry; crystal system = orthorhombic; energy = -5.4237 eV per atom; calculated density = 3.7 g cm⁻³; space group = Immm; spin magnetization = 18.000 μB per cell
1.0
-3.170 4.241 -4.603
6.531 -1.344 -2.180
-3.571 -6.017 0.503
Fe F Ba
4 12 1
direct
0.000 0.000 0.500 Fe
0.000 0.500 0.000 Fe
0.500 0.000 0.000 Fe
0.500 0.500 0.500 Fe
0.515 0.257 0.257 F
0.245 0.988 0.743 F
0.000 0.257 0.743 F
0.758 0.257 0.015 F
0.000 0.743 0.257 F
0.758 0.743 0.501 F
0.485 0.743 0.743 F
0.755 0.499 0.744 F
0.245 0.501 0.256 F
0.242 0.257 0.499 F
0.755 0.012 0.257 F
0.242 0.743 0.985 F
0.000 0.500 0.500 Ba